# 1
{
  "formula": "RbGa4Bi",
  "functional": "PBE-GGA",
  "state": "optimized geometry",
  "formation_enthalpy_0k_ev_per_atom": 0.055,
  "dos_at_fermi_per_ev_fu": 2.14,
  "total_magnetization_mub_per_fu": 0.0,
  "lattice": [[0.0000, 4.2516, 4.2516], [4.2516, 0.0000, 4.2516], [4.2516, 4.2516, 0.0000]],
  "species": ["Rb", "Ga", "Ga", "Ga", "Ga", "Bi"],
  "fractional_positions": [[0.0000, 0.0000, 0.0000], [0.3768, 0.3768, 0.3768], [0.3768, 0.3768, 0.8696], [0.3768, 0.8696, 0.3768], [0.8696, 0.3768, 0.3768], [0.7500, 0.7500, 0.7500]]
}

---

# 2
{
  "formula": "Tm2SnSe4",
  "functional": "PBE-GGA",
  "state": "optimized geometry",
  "total_magnetization_mub_per_fu": 0.0,
  "raw_formation_energy_kj_per_mol_atoms": -136.2,
  "lattice": [[4.2365, 2.4459, 6.9235], [-4.2365, 2.4459, 6.9235], [0.0000, -4.8919, 6.9235]],
  "species": ["Tm", "Tm", "Tm", "Tm", "Sn", "Sn", "Se", "Se", "Se", "Se", "Se", "Se", "Se", "Se"],
  "fractional_positions": [[0.0000, 0.0000, 0.0000], [0.0000, 0.0000, 0.5000], [0.0000, 0.5000, 0.0000], [0.5000, 0.0000, 0.0000], [0.3749, 0.3749, 0.3749], [0.6251, 0.6251, 0.6251], [0.2115, 0.7629, 0.7629], [0.2370, 0.2370, 0.2370], [0.2371, 0.2371, 0.7885], [0.2371, 0.7885, 0.2371], [0.7629, 0.2115, 0.7629], [0.7629, 0.7629, 0.2115], [0.7630, 0.7630, 0.7630], [0.7885, 0.2371, 0.2371]]
}